Entry 1:
{
  "formula": "Ho6ZnGa",
  "functional": "PBE",
  "state": "relaxed",
  "rho_g_cm3": 8.7,
  "delta_e_f_ev_per_atom": -0.222,
  "lattice_angstrom": [[-2.487, 2.487, 8.724], [2.487, -2.487, 8.724], [2.487, 2.487, -8.724]],
  "species": ["Ho", "Ho", "Ho", "Ho", "Ho", "Ho", "Zn", "Ga"],
  "fractional_positions": [[0.104, 0.604, 0.500], [0.250, 0.250, 0.000], [0.396, 0.896, 0.500], [0.604, 0.104, 0.500], [0.750, 0.750, 0.000], [0.896, 0.396, 0.500], [0.000, 0.000, 0.000], [0.500, 0.500, 0.000]]
}

---

Entry 2:
{
  "formula": "Sb3Pd3Pt",
  "functional": "PBE",
  "state": "relaxed",
  "e_form_raw_ev_per_atom": -0.355,
  "rho_g_cm3": 10.2,
  "lattice_angstrom": [[9.398, -2.861, 0.000], [9.398, 2.861, 0.000], [0.000, 0.000, 10.604]],
  "species": ["Sb", "Sb", "Sb", "Sb", "Sb", "Sb", "Sb", "Sb", "Sb", "Sb", "Sb", "Sb", "Pd", "Pd", "Pd", "Pd", "Pd", "Pd", "Pd", "Pd", "Pd", "Pd", "Pd", "Pd", "Pt", "Pt", "Pt", "Pt"],
  "fractional_positions": [[0.020, 0.680, 0.651], [0.180, 0.520, 0.151], [0.199, 0.801, 0.862], [0.301, 0.699, 0.362], [0.320, 0.980, 0.651], [0.480, 0.820, 0.151], [0.520, 0.180, 0.849], [0.680, 0.020, 0.349], [0.699, 0.301, 0.638], [0.801, 0.199, 0.138], [0.820, 0.480, 0.849], [0.980, 0.320, 0.349], [0.035, 0.543, 0.381], [0.043, 0.535, 0.881], [0.171, 0.829, 0.610], [0.329, 0.671, 0.110], [0.457, 0.965, 0.381], [0.465, 0.957, 0.881], [0.535, 0.043, 0.119], [0.543, 0.035, 0.619], [0.671, 0.329, 0.890], [0.829, 0.171, 0.390], [0.957, 0.465, 0.119], [0.965, 0.457, 0.619], [0.102, 0.102, 0.000], [0.398, 0.398, 0.500], [0.602, 0.602, 0.500], [0.898, 0.898, 0.000]]
}

---

What did the first record say?
{
  "formula": "Ho6ZnGa",
  "functional": "PBE",
  "state": "relaxed",
  "rho_g_cm3": 8.7,
  "delta_e_f_ev_per_atom": -0.222,
  "lattice_angstrom": [[-2.487, 2.487, 8.724], [2.487, -2.487, 8.724], [2.487, 2.487, -8.724]],
  "species": ["Ho", "Ho", "Ho", "Ho", "Ho", "Ho", "Zn", "Ga"],
  "fractional_positions": [[0.104, 0.604, 0.500], [0.250, 0.250, 0.000], [0.396, 0.896, 0.500], [0.604, 0.104, 0.500], [0.750, 0.750, 0.000], [0.896, 0.396, 0.500], [0.000, 0.000, 0.000], [0.500, 0.500, 0.000]]
}